First-principles (PBE-GGA) data for crystalline ScTa2N at its relaxed geometry, as listed in Alexandria.

Output
DFT total energy (eV/atom): -9.527
Formation energy from raw total energies (eV per atom): 0.063
Total magnetization (μB/f.u.): 0.00

a = 6.3741 Å, b = 6.3741 Å, c = 7.7461 Å
α = 90.00°, β = 90.00°, γ = 90.00°
Space group I-42d (No. 122)
One atom of each set of equivalent atoms:
Sc 0.0000 0.0000 0.0000 [4 per cell]
Ta 0.1018 0.2500 0.6250 [8 per cell]
N 0.0000 0.0000 0.5000 [4 per cell]